(1)
Here is a relaxed structure of RbCdPt from Alexandria. Energies are from GGA-PBE.

Cell and atoms, written as POSCAR:
```
RbCdPt
1.0
5.442 -0.285 0.358
0.243 4.679 0.031
0.317 -0.074 7.552
Cd Rb Pt
2 2 2
direct
0.921 0.867 0.012
0.206 0.366 0.827
0.789 0.866 0.563
0.338 0.367 0.277
0.429 0.867 0.937
0.699 0.366 0.902
```

Summary:
Polymorph energy (0 for the lowest one), eV per formula unit: 0.00
Spin magnetization, μB/atom: 0.00
Space group: No. 2

---

(2)
Here is a relaxed structure of MnCo3Pt12 from Alexandria. Energies are from GGA-PBE.

Cell and atoms, written as POSCAR:
```
MnCo3Pt12
1.0
3.892 0.000 0.000
0.000 3.892 0.000
0.000 0.000 15.641
Pt Co Mn
12 3 1
direct
0.500 0.500 0.748
0.500 0.000 0.624
0.500 0.500 0.500
0.000 0.500 0.376
0.000 0.500 0.127
0.500 0.000 0.873
0.000 0.500 0.624
0.500 0.500 0.000
0.500 0.500 0.252
0.000 0.500 0.873
0.500 0.000 0.127
0.500 0.000 0.376
0.000 0.000 0.253
0.000 0.000 0.747
0.000 0.000 0.500
0.000 0.000 0.000
```

Summary:
Spin magnetization, μB/atom: 0.85
Space group: No. 123

---

(3)
Here is a relaxed structure of Tb2SmP from Alexandria. Energies are from GGA-PBE.

Cell and atoms, written as POSCAR:
```
Tb2SmP
1.0
3.812 0.000 0.000
1.906 3.302 0.000
1.906 1.101 9.431
P Sm Tb
1 1 2
direct
0.000 0.000 0.000
0.500 0.500 0.500
0.275 0.275 0.176
0.725 0.725 0.824
```

Summary:
Spin magnetization, μB/atom: 0.00
Space group: No. 166

---

| no. | total DFT energy (no corrections) (eV/atom) | calculated formation energy (eV/atom) |
| --- | --- | --- |
| 1 | -2.83 | -0.1839 |
| 2 | -6.57 | -0.1379 |
| 3 | -5.55 | -0.6991 |